[1]
This record from Alexandria describes a geometry-optimized NaSr2MoN4 structure. The functional is PBE.

Structure (POSCAR):
```
NaSr2MoN4
1.0
8.178 0.000 0.000
0.000 6.471 0.000
0.000 0.000 5.825
Na Sr Mo N
2 4 2 8
direct
0.000 0.178 0.000
0.500 0.822 0.500
0.248 0.294 0.496
0.252 0.706 0.996
0.748 0.706 0.996
0.752 0.294 0.496
0.000 0.819 0.517
0.500 0.181 0.017
0.000 0.088 0.396
0.000 0.846 0.833
0.196 0.678 0.438
0.304 0.322 0.938
0.500 0.154 0.333
0.500 0.912 0.896
0.696 0.322 0.938
0.804 0.678 0.438
```

N(E_F)	10.3	states/eV/cell
raw total energy	-53.20	eV per formula unit
total magnetic moment	2.1	μB/cell
raw formation energy	-4.385	eV/f.u.
space group	Pmn2_1 (31)
volume	19.26	A^3/atom

***

[2]
This record from Alexandria describes a geometry-optimized NaTeMo2N structure. The functional is PBE.

Structure (POSCAR):
```
NaTeMo2N
1.0
5.229 0.000 0.000
0.000 5.229 0.000
0.000 0.000 4.333
Na Te Mo N
1 1 2 1
direct
0.000 0.000 0.000
0.500 0.500 0.500
0.000 0.500 0.500
0.500 0.000 0.500
0.500 0.500 0.000
```

N(E_F)	5.3	states/eV/cell
raw total energy	-24.73	eV per formula unit
total magnetic moment	5.7	μB/cell
raw formation energy	9.723	eV/f.u.
space group	P4/mmm (123)
volume	23.70	A^3/atom

***

[3]
This record from Alexandria describes a geometry-optimized Na2ThMoN4 structure. The functional is PBE.

Structure (POSCAR):
```
Na2ThMoN4
1.0
7.168 0.000 0.000
0.000 7.364 0.000
0.000 0.000 5.063
Na Th Mo N
4 2 2 8
direct
0.249 0.134 0.000
0.251 0.866 0.500
0.749 0.866 0.500
0.751 0.134 0.000
0.000 0.629 0.003
0.500 0.371 0.503
0.000 0.312 0.449
0.500 0.688 0.949
0.000 0.327 0.089
0.000 0.568 0.517
0.231 0.195 0.528
0.269 0.805 0.028
0.500 0.432 0.017
0.500 0.673 0.589
0.731 0.805 0.028
0.769 0.195 0.528
```

N(E_F)	0.0	states/eV/cell
raw total energy	-60.07	eV per formula unit
total magnetic moment	0.0	μB/cell
raw formation energy	-5.881	eV/f.u.
space group	Pmn2_1 (31)
volume	16.70	A^3/atom

***

[4]
This record from Alexandria describes a geometry-optimized NaUMoN3 structure. The functional is PBE.

Structure (POSCAR):
```
NaUMoN3
1.0
6.965 0.000 0.000
0.000 3.438 0.000
-2.549 0.000 8.860
Na U Mo N
2 2 2 6
direct
0.179 0.250 0.146
0.821 0.750 0.854
0.326 0.750 0.854
0.674 0.250 0.146
0.013 0.250 0.609
0.987 0.750 0.391
0.121 0.250 0.848
0.177 0.750 0.605
0.461 0.750 0.106
0.539 0.250 0.894
0.823 0.250 0.395
0.879 0.750 0.152
```

N(E_F)	7.2	states/eV/cell
raw total energy	-52.32	eV per formula unit
total magnetic moment	0.0	μB/cell
raw formation energy	-3.906	eV/f.u.
space group	P2_1/m (11)
volume	17.68	A^3/atom

***

[5]
This record from Alexandria describes a geometry-optimized NaMoW2N structure. The functional is PBE.

Structure (POSCAR):
```
NaMoW2N
1.0
4.692 0.000 0.000
0.000 4.692 0.000
0.000 0.000 3.646
Na Mo W N
1 1 2 1
direct
0.000 0.000 0.000
0.500 0.500 0.500
0.000 0.500 0.000
0.500 0.000 0.000
0.000 0.000 0.500
```

N(E_F)	5.0	states/eV/cell
raw total energy	-31.83	eV per formula unit
total magnetic moment	0.0	μB/cell
raw formation energy	14.553	eV/f.u.
space group	P4/mmm (123)
volume	16.05	A^3/atom

***

[6]
This record from Alexandria describes a geometry-optimized Na2MoWN4 structure. The functional is PBE.

Structure (POSCAR):
```
Na2MoWN4
1.0
6.740 0.000 0.000
0.000 6.407 0.000
0.000 0.000 5.692
Na Mo W N
4 2 2 8
direct
0.245 0.162 0.000
0.255 0.838 0.500
0.745 0.838 0.500
0.755 0.162 0.000
0.000 0.649 0.012
0.500 0.351 0.512
0.000 0.357 0.498
0.500 0.643 0.998
0.000 0.403 0.827
0.000 0.621 0.352
0.249 0.214 0.447
0.251 0.786 0.947
0.500 0.379 0.852
0.500 0.597 0.327
0.749 0.786 0.947
0.751 0.214 0.447
```

N(E_F)	7.3	states/eV/cell
raw total energy	-62.51	eV per formula unit
total magnetic moment	0.0	μB/cell
raw formation energy	-2.789	eV/f.u.
space group	Pmn2_1 (31)
volume	15.36	A^3/atom

***

[7]
This record from Alexandria describes a geometry-optimized NaZn2MoN4 structure. The functional is PBE.

Structure (POSCAR):
```
NaZn2MoN4
1.0
7.032 0.000 0.000
0.000 5.698 0.000
0.000 0.000 5.469
Na Zn Mo N
2 4 2 8
direct
0.000 0.176 0.000
0.500 0.824 0.500
0.246 0.329 0.508
0.254 0.671 0.008
0.746 0.671 0.008
0.754 0.329 0.508
0.000 0.811 0.512
0.500 0.189 0.012
0.000 0.141 0.452
0.000 0.766 0.853
0.210 0.662 0.376
0.290 0.338 0.876
0.500 0.234 0.353
0.500 0.859 0.952
0.710 0.338 0.876
0.790 0.662 0.376
```

N(E_F)	8.2	states/eV/cell
raw total energy	-48.44	eV per formula unit
total magnetic moment	2.0	μB/cell
raw formation energy	-0.445	eV/f.u.
space group	Pmn2_1 (31)
volume	13.69	A^3/atom

***

[8]
This record from Alexandria describes a geometry-optimized NbMo4N5 structure. The functional is PBE.

Structure (POSCAR):
```
NbMo4N5
1.0
-3.318 3.318 2.535
3.318 -3.318 2.535
3.318 3.318 -2.535
Nb Mo N
1 4 5
direct
0.000 0.000 0.000
0.171 0.480 0.692
0.480 0.171 0.692
0.480 0.788 0.308
0.788 0.480 0.308
0.380 0.380 0.409
0.380 0.971 0.000
0.623 0.623 0.000
0.971 0.380 0.000
0.971 0.971 0.591
```

N(E_F)	6.3	states/eV/cell
raw total energy	-97.71	eV per formula unit
total magnetic moment	0.0	μB/cell
raw formation energy	-2.684	eV/f.u.
space group	I4mm (107)
volume	11.16	A^3/atom